# 1
Here is an optimized crystal structure of HoTl2InS4 from the Alexandria database. Energies are from PBE.

a = 3.954 Å, b = 7.892 Å, c = 6.881 Å
α = 72.69°, β = 90.00°, γ = 90.00°
Atoms (fractional coordinates):
Ho 0.000 0.500 0.500
Tl 0.000 0.000 0.000
Tl 0.500 0.000 0.500
In 0.500 0.500 0.000
S 0.000 0.693 0.776
S 0.000 0.307 0.224
S 0.500 0.699 0.265
S 0.500 0.301 0.735

Values from the calculation:
**DOS(E_F)**: 0.011 states/eV per atom
**Energy**: -0.334 Ry/atom
**ΔE_f (raw)**: -977 meV per atom
**Symmetry**: No. 10
**Crystal system**: monoclinic

***

# 2
Here is an optimized crystal structure of BaYOs3 from the Alexandria database. Energies are from PBE.

a = 5.150 Å, b = 5.150 Å, c = 5.150 Å
α = 90.00°, β = 90.00°, γ = 90.00°
Each line ends with the local moment (μB).
Atoms (fractional coordinates):
Y 0.000 0.000 0.000  -0.06
Os 0.000 0.500 0.000  1.49
Os 0.000 0.000 0.500  1.52
Os 0.500 0.000 0.000  1.40
Ba 0.500 0.500 0.500  -0.01

Values from the calculation:
**E above lowest polymorph**: 0.000 eV per atom
**Energy of formation from the pure elements**: 2134 meV/atom
**DOS(E_F)**: 0.908 states/eV per atom
**Energy**: -0.462 Ry/atom
**Symmetry**: No. 221
**Crystal system**: cubic